Material: MnP2I
Method: DFT, GGA-PBE
State: optimized geometry

POSCAR file:
```
MnP2I
1.0
6.660 0.000 0.000
0.000 6.660 0.000
0.000 0.000 6.660
Mn P I
4 8 4
Cartesian
0.000 0.000 0.000
0.000 3.330 3.330
3.330 0.000 3.330
3.330 3.330 0.000
1.665 1.665 1.665
1.665 1.665 4.995
1.665 4.995 1.665
1.665 4.995 4.995
4.995 1.665 1.665
4.995 1.665 4.995
4.995 4.995 1.665
4.995 4.995 4.995
0.000 0.000 3.330
0.000 3.330 0.000
3.330 0.000 0.000
3.330 3.330 3.330
```

Properties
- energy above the lowest structure with this stoichiometry (meV per atom) = 647

---

Material: MnPI3
Method: DFT, GGA-PBE
State: optimized geometry

POSCAR file:
```
MnPI3
1.0
5.189 0.000 0.000
0.000 5.189 0.000
0.000 0.000 5.189
Mn P I
1 1 3
Cartesian
0.000 0.000 0.000
2.594 2.594 2.594
0.000 0.000 2.594
0.000 2.594 0.000
2.594 0.000 0.000
```

Properties
- energy above the lowest structure with this stoichiometry (meV per atom) = 382

---

Material: Mn3PI
Method: DFT, GGA-PBE
State: optimized geometry

POSCAR file:
```
Mn3PI
1.0
4.755 0.000 0.000
0.000 4.755 0.000
0.000 0.000 4.755
Mn P I
3 1 1
Cartesian
0.000 0.000 2.378
0.000 2.378 0.000
2.378 0.000 0.000
0.000 0.000 0.000
2.378 2.378 2.378
```

Properties
- energy above the lowest structure with this stoichiometry (meV per atom) = 0

---

Material: Mn3PI
Method: DFT, GGA-PBE
State: optimized geometry

POSCAR file:
```
Mn3PI
1.0
4.975 0.000 0.000
0.000 4.975 0.000
0.000 0.000 4.975
Mn P I
3 1 1
Cartesian
0.000 0.000 2.488
0.000 2.488 0.000
2.488 0.000 0.000
2.488 2.488 2.488
0.000 0.000 0.000
```

Properties
- energy above the lowest structure with this stoichiometry (meV per atom) = 1155

---

Material: MnP2I
Method: DFT, GGA-PBE
State: optimized geometry

POSCAR file:
```
MnP2I
1.0
6.035 0.000 0.000
0.000 6.035 0.000
0.000 0.000 10.505
Mn P I
4 8 4
Cartesian
0.000 0.000 0.000
0.000 3.018 2.626
3.018 0.000 7.879
3.018 3.018 5.253
0.698 1.509 1.313
1.509 3.715 3.939
1.509 5.338 9.192
2.320 1.509 6.566
3.715 4.527 6.566
4.527 0.698 9.192
4.527 2.320 3.939
5.338 4.527 1.313
0.000 0.000 5.253
0.000 3.018 7.879
3.018 0.000 2.626
3.018 3.018 0.000
```

Properties
- energy above the lowest structure with this stoichiometry (meV per atom) = 0

---

Material: MnP2I6
Method: DFT, GGA-PBE
State: optimized geometry

POSCAR file:
```
MnP2I6
1.0
8.090 -7.555 0.000
8.090 7.555 0.000
-2.373 0.000 7.540
Mn P I
2 4 12
Cartesian
6.310 7.530 5.655
7.496 -7.530 1.885
5.125 0.225 6.591
6.311 -0.225 2.822
7.495 0.225 4.718
8.681 -0.225 0.948
5.628 6.145 3.353
9.365 6.145 0.417
4.347 1.258 3.251
4.355 2.462 7.340
3.160 -1.258 7.020
8.265 2.462 3.970
5.542 -2.462 3.570
10.646 1.258 0.519
9.451 -2.462 0.200
9.460 -1.258 4.289
4.441 -6.145 7.123
8.179 -6.145 4.187
```

---

Material: MnPI2
Method: DFT, GGA-PBE
State: optimized geometry

POSCAR file:
```
MnPI2
1.0
6.940 0.000 0.000
0.000 6.940 0.000
0.000 0.000 8.876
Mn P I
4 4 8
Cartesian
0.000 0.000 0.000
0.000 3.470 2.219
3.470 0.000 6.657
3.470 3.470 4.438
0.000 0.000 4.438
0.000 3.470 6.657
3.470 0.000 2.219
3.470 3.470 0.000
1.384 1.735 1.110
1.735 4.854 3.329
1.735 5.556 7.767
2.086 1.735 5.548
4.854 5.205 5.548
5.205 1.384 7.767
5.205 2.086 3.329
5.556 5.205 1.110
```

Properties
- energy above the lowest structure with this stoichiometry (meV per atom) = 244

---

Material: MnPI2
Method: DFT, GGA-PBE
State: optimized geometry

POSCAR file:
```
MnPI2
1.0
7.291 0.000 0.000
0.000 7.291 0.000
0.000 0.000 7.291
Mn P I
4 4 8
Cartesian
0.000 0.000 0.000
0.000 3.645 3.645
3.645 0.000 3.645
3.645 3.645 0.000
0.000 0.000 3.645
0.000 3.645 0.000
3.645 0.000 0.000
3.645 3.645 3.645
1.823 1.823 1.823
1.823 1.823 5.468
1.823 5.468 1.823
1.823 5.468 5.468
5.468 1.823 1.823
5.468 1.823 5.468
5.468 5.468 1.823
5.468 5.468 5.468
```

Properties
- energy above the lowest structure with this stoichiometry (meV per atom) = 0

---

Material: Mn2PI8
Method: DFT, GGA-PBE
State: optimized geometry

POSCAR file:
```
Mn2PI8
1.0
7.246 -4.743 0.000
7.246 4.743 0.000
-0.905 0.000 8.296
Mn P I
2 1 8
Cartesian
1.437 0.000 2.990
12.149 0.000 5.306
0.000 0.000 0.000
0.396 0.000 5.766
4.674 2.773 7.183
3.757 0.000 4.069
8.912 2.773 1.113
4.674 -2.773 7.183
9.829 0.000 4.227
8.912 -2.773 1.113
13.190 0.000 2.530
```

---

Material: Rb2MnPI6
Method: DFT, GGA-PBE
State: optimized geometry

POSCAR file:
```
Rb2MnPI6
1.0
-4.069 4.069 6.154
4.069 -4.069 6.154
4.069 4.069 -6.154
Rb Mn P I
2 1 1 6
Cartesian
4.069 0.000 3.077
0.000 4.069 3.077
0.000 0.000 0.000
0.000 0.000 6.154
0.000 0.000 2.719
2.110 2.110 0.000
1.959 -1.959 6.154
-1.959 1.959 6.154
1.959 1.959 6.154
0.000 0.000 9.588
```

---

Material: MnPRhI
Method: DFT, GGA-PBE
State: optimized geometry

POSCAR file:
```
MnPRhI
1.0
3.840 0.000 0.000
-1.920 3.326 0.000
0.000 0.000 19.564
Mn P Rh I
3 3 3 3
Cartesian
0.000 0.000 0.000
0.000 2.217 13.043
1.920 1.109 6.521
0.000 0.000 5.311
0.000 2.217 18.354
1.920 1.109 11.833
0.000 0.000 11.266
0.000 2.217 4.745
1.920 1.109 17.787
0.000 0.000 8.561
0.000 2.217 2.040
1.920 1.109 15.083
```

Properties
- energy above the lowest structure with this stoichiometry (meV per atom) = 48

---

Material: MnPRhI
Method: DFT, GGA-PBE
State: optimized geometry

POSCAR file:
```
MnPRhI
1.0
3.822 0.000 0.000
-1.911 3.310 0.000
0.000 0.000 6.440
Mn P Rh I
1 1 1 1
Cartesian
0.000 0.000 0.000
0.000 2.206 1.149
1.911 1.103 1.791
1.911 1.103 4.504
```

Properties
- energy above the lowest structure with this stoichiometry (meV per atom) = 0

---

| no. | final energy (hartree per atom) | formation energy from raw total energies (eV per atom) |
| --- | --- | --- |
| 1 | -0.1617 | 0.985 |
| 2 | -0.1078 | 0.912 |
| 3 | -0.2394 | 0.380 |
| 4 | -0.1969 | 1.535 |
| 5 | -0.1855 | 0.338 |
| 6 | -0.1241 | -0.123 |
| 7 | -0.1249 | 1.020 |
| 8 | -0.1339 | 0.777 |
| 9 | -0.1259 | -0.140 |
| 10 | -0.1167 | -0.593 |
| 11 | -0.2240 | -0.224 |
| 12 | -0.2257 | -0.272 |